No. 1
Entry from Alexandria: crystalline PmIn2CuPd4 at its relaxed geometry (PBE).

Output
* Fermi-level density of states: 0.3991 states/eV per atom
* energy of formation: -51.8 kJ per mole of atoms

Cell lengths 4.6150, 4.6150, 24.1517 Å; angles 90.00, 90.00, 120.00 degrees
Last column: nearest neighbours and their distance in Å.
Space group R-3m (No. 166, hexagonal axes)
Asymmetric unit:
Pm 0.0000 0.0000 0.0000 (multiplicity 3)  8 Pd 3.04-3.07
In 0.0000 0.0000 0.2419 (multiplicity 6)  7 Pd 2.77-2.80
Cu 0.0000 0.0000 0.5000 (multiplicity 3)  8 Pd 2.57-2.83
Pd 0.0000 0.0000 0.1273 (multiplicity 6)  4 In 2.77-2.80, 3 Cu 2.83, 1 Pm 3.07
Pd 0.0000 0.0000 0.3938 (multiplicity 6)  1 Cu 2.57, 3 In 2.77

No. 2
Entry from Alexandria: crystalline Pa2Mn2Si2C at its relaxed geometry (PBE).

Output
* Fermi-level density of states: 1.3590 states/eV per atom
* E_form (uncorrected): -557 meV per atom

Cell lengths 10.3991, 3.9856, 6.7999 Å; angles 90.00, 128.93, 90.00 degrees
Last column: nearest neighbours and their distance in Å.
Space group C2/m (No. 12)
Asymmetric unit:
Pa 0.0567 0.0000 0.3244 (multiplicity 4)  2 C 2.57
Mn 0.2031 0.5000 0.8115 (multiplicity 4)  1 C 1.82
Si 0.1580 0.5000 0.1128 (multiplicity 4)  3 Mn 2.32-2.37
C 0.0000 0.5000 0.5000 (multiplicity 2)  2 Mn 1.82

No. 3
Entry from Alexandria: crystalline B5C7 at its relaxed geometry (PBE).

Output
* Fermi-level density of states: 0.1597 states/eV per atom
* energy of formation: 36.8 kJ per mole of atoms

Cell lengths 13.7026, 2.6069, 4.7242 Å; angles 90.00, 109.44, 90.00 degrees
Last column: nearest neighbours and their distance in Å.
Space group Cm (No. 8)
Asymmetric unit:
B 0.0000 0.0000 0.0000 (multiplicity 2)  1 C 1.53
B 0.0317 0.5000 0.2631 (multiplicity 2)  2 C 1.58-1.59, 2 B 1.75
B 0.1463 0.0000 0.9096 (multiplicity 2)  3 C 1.62
B 0.2041 0.0000 0.5544 (multiplicity 2)  3 C 1.59
B 0.3462 0.5000 0.8959 (multiplicity 2)  3 C 1.58-1.64
C 0.0250 0.0000 0.7070 (multiplicity 2)  2 B 1.53-1.62, 2 C 1.56
C 0.1547 0.5000 0.3671 (multiplicity 2)  1 C 1.58, 3 B 1.59
C 0.2013 0.5000 0.1021 (multiplicity 2)  2 C 1.54-1.58, 2 B 1.62
C 0.3205 0.5000 0.2119 (multiplicity 2)  3 C 1.54-1.60, 1 B 1.64
C 0.3269 0.0000 0.6966 (multiplicity 2)  3 B 1.58-1.59, 1 C 1.58
C 0.3626 0.0000 0.4102 (multiplicity 2)  4 C 1.57-1.60
C 0.4844 0.0000 0.5250 (multiplicity 2)  3 C 1.56-1.57, 1 B 1.58

No. 4
Entry from Alexandria: crystalline TmAlI at its relaxed geometry (PBE).

Output
* Fermi-level density of states: 0.1749 states/eV per atom
* E_form (uncorrected): -831 meV per atom

Cell lengths 7.3600, 4.2495, 12.4156 Å; angles 90.00, 101.48, 90.00 degrees
Last column: nearest neighbours and their distance in Å.
Space group C2/m (No. 12)
Asymmetric unit:
Tm 0.0552 0.0000 0.1645 (multiplicity 4)  6 Al 3.04-3.30, 3 I 3.13
Al 0.1609 0.5000 0.9827 (multiplicity 4)  3 Al 2.49
I 0.2246 0.0000 0.6762 (multiplicity 4)  3 Tm 3.13

No. 5
Entry from Alexandria: crystalline MnIr2W at its relaxed geometry (PBE).

Output
* Fermi-level density of states: 0.9895 states/eV per atom
* energy of formation: -19.0 kJ per mole of atoms

Cell lengths 2.8183, 2.8183, 7.4359 Å; angles 90.00, 90.00, 90.00 degrees
Last column: nearest neighbours and their distance in Å.
Space group P4/mmm (No. 123)
Asymmetric unit:
Mn 0.0000 0.0000 0.0000 (multiplicity 1)  8 Ir 2.71, 4 Mn 2.82
Ir 0.5000 0.5000 0.2477 (multiplicity 2)  4 Mn 2.71, 4 W 2.74, 4 Ir 2.82
W 0.0000 0.0000 0.5000 (multiplicity 1)  8 Ir 2.74, 4 W 2.82

No. 6
Entry from Alexandria: crystalline TcBiN2F at its relaxed geometry (PBE).

Output
* Fermi-level density of states: 0.2541 states/eV per atom
* E_form (uncorrected): 1261 meV per atom

Cell lengths 4.3509, 4.3509, 4.3406 Å; angles 90.00, 90.00, 90.00 degrees
Last column: nearest neighbours and their distance in Å.
Space group P4/mmm (No. 123)
Asymmetric unit:
Tc 0.0000 0.0000 0.0000 (multiplicity 1)  8 N 3.07, 4 F 3.08
Bi 0.5000 0.5000 0.5000 (multiplicity 1)  2 F 2.17, 4 N 2.18
N 0.0000 0.5000 0.5000 (multiplicity 2)  2 Bi 2.18
F 0.5000 0.5000 0.0000 (multiplicity 1)  2 Bi 2.17

Number 1 is which compound?
PmIn2CuPd4